Run one
Computed, not measured: PmY2Ir after structural relaxation at the PBE level of DFT.

The structure in POSCAR format:
```
PmY2Ir
1.0
7.301 0.000 0.000
0.000 9.410 0.000
0.000 0.000 6.484
Pm Y Ir
4 8 4
Direct
0.035 0.250 0.136
0.465 0.750 0.636
0.535 0.250 0.364
0.965 0.750 0.864
0.175 0.064 0.671
0.175 0.436 0.671
0.325 0.564 0.171
0.325 0.936 0.171
0.675 0.064 0.829
0.675 0.436 0.829
0.825 0.564 0.329
0.825 0.936 0.329
0.118 0.750 0.445
0.382 0.250 0.945
0.618 0.750 0.055
0.882 0.250 0.555
```


Run two
Computed, not measured: PmY2Ir after structural relaxation at the PBE level of DFT.

The structure in POSCAR format:
```
PmY2Ir
1.0
1.930 -6.165 0.000
1.930 6.165 0.000
0.000 0.000 9.333
Pm Y Ir
2 4 2
Direct
0.075 0.925 0.750
0.925 0.075 0.250
0.358 0.642 0.568
0.358 0.642 0.932
0.642 0.358 0.068
0.642 0.358 0.432
0.248 0.752 0.250
0.752 0.248 0.750
```


Run three
Computed, not measured: PmY2Ir after structural relaxation at the PBE level of DFT.

The structure in POSCAR format:
```
PmY2Ir
1.0
3.493 0.000 0.000
0.000 3.493 0.000
0.000 0.000 8.929
Pm Y Ir
1 2 1
Direct
0.000 0.000 0.000
0.500 0.500 0.316
0.500 0.500 0.684
0.000 0.000 0.500
```


Energy relative to the most stable one, in meV/atom: run one 0; run two 36; run three 137


Run one
Computed, not measured: PmY2Ir after structural relaxation at the PBE level of DFT.

The structure in POSCAR format:
```
PmY2Ir
1.0
2.330 1.345 5.968
-2.330 1.345 5.968
0.000 -2.691 5.968
Pm Y Ir
1 2 1
Direct
0.000 0.000 0.000
0.220 0.220 0.220
0.780 0.780 0.780
0.500 0.500 0.500
```


Run two
Computed, not measured: PmY2Ir after structural relaxation at the PBE level of DFT.

The structure in POSCAR format:
```
PmY2Ir
1.0
2.328 1.344 6.319
-2.328 1.344 6.319
0.000 -2.688 6.319
Pm Y Ir
1 2 1
Direct
0.000 0.000 0.000
0.551 0.551 0.551
0.780 0.780 0.780
0.164 0.164 0.164
```


Energy relative to the most stable one, in meV/atom: run one 167; run two 0


Run one
Computed, not measured: PmY2Ir2 after structural relaxation at the PBE level of DFT.

The structure in POSCAR format:
```
PmY2Ir2
1.0
5.537 0.000 0.000
0.000 4.423 0.000
-1.334 0.000 10.502
Pm Y Ir
2 4 4
Direct
0.095 0.250 0.288
0.905 0.750 0.712
0.251 0.250 0.970
0.395 0.250 0.617
0.605 0.750 0.383
0.749 0.750 0.030
0.154 0.750 0.477
0.269 0.750 0.139
0.731 0.250 0.861
0.846 0.250 0.523
```


Run two
Computed, not measured: PmY2Ir2 after structural relaxation at the PBE level of DFT.

The structure in POSCAR format:
```
PmY2Ir2
1.0
4.832 0.000 0.000
-2.416 4.184 0.000
0.000 0.000 6.068
Pm Y Ir
1 2 2
Direct
0.000 0.000 0.000
0.333 0.667 0.661
0.667 0.333 0.339
0.333 0.667 0.175
0.667 0.333 0.825
```


Energy relative to the most stable one, in meV/atom: run one 34; run two 0


Run one
Computed, not measured: Pm3YIr2 after structural relaxation at the PBE level of DFT.

The structure in POSCAR format:
```
Pm3YIr2
1.0
-3.452 6.909 3.610
3.452 -6.909 3.610
3.452 6.909 -3.610
Pm Y Ir
6 2 4
Direct
0.015 0.750 0.265
0.250 0.250 0.000
0.485 0.750 0.735
0.515 0.250 0.265
0.750 0.750 0.000
0.985 0.250 0.735
0.000 0.500 0.500
0.500 0.000 0.500
0.137 0.215 0.353
0.363 0.715 0.078
0.637 0.285 0.922
0.863 0.785 0.647
```


Run two
Computed, not measured: Pm3YIr2 after structural relaxation at the PBE level of DFT.

The structure in POSCAR format:
```
Pm3YIr2
1.0
8.233 -2.189 0.000
8.233 2.189 0.000
-4.737 0.000 9.807
Pm Y Ir
6 2 4
Direct
0.052 0.052 0.222
0.210 0.210 0.595
0.333 0.333 0.974
0.667 0.667 0.026
0.790 0.790 0.405
0.948 0.948 0.778
0.427 0.427 0.335
0.573 0.573 0.665
0.138 0.138 0.840
0.383 0.383 0.581
0.617 0.617 0.419
0.862 0.862 0.160
```


Energy relative to the most stable one, in meV/atom: run one 30; run two 0


Run one
Computed, not measured: PmY3Ir2 after structural relaxation at the PBE level of DFT.

The structure in POSCAR format:
```
PmY3Ir2
1.0
4.685 0.000 0.000
0.000 8.813 0.000
0.000 0.000 7.280
Pm Y Ir
2 6 4
Direct
0.000 0.086 0.000
0.000 0.914 0.500
0.000 0.333 0.631
0.000 0.667 0.131
0.500 0.172 0.349
0.500 0.414 0.979
0.500 0.586 0.479
0.500 0.828 0.849
0.000 0.344 0.234
0.000 0.656 0.734
0.500 0.160 0.744
0.500 0.840 0.244
```


Run two
Computed, not measured: PmY3Ir2 after structural relaxation at the PBE level of DFT.

The structure in POSCAR format:
```
PmY3Ir2
1.0
-3.423 6.860 3.534
3.423 -6.860 3.534
3.423 6.860 -3.534
Pm Y Ir
2 6 4
Direct
0.000 0.000 0.000
0.500 0.500 0.000
0.012 0.250 0.762
0.250 0.750 0.500
0.488 0.250 0.238
0.512 0.750 0.762
0.750 0.250 0.500
0.988 0.750 0.238
0.138 0.713 0.851
0.362 0.213 0.575
0.638 0.787 0.425
0.862 0.287 0.149
```


Energy relative to the most stable one, in meV/atom: run one 0; run two 85


Run one
Computed, not measured: PmYZnIr after structural relaxation at the PBE level of DFT.

The structure in POSCAR format:
```
PmYZnIr
1.0
4.369 0.000 0.000
0.000 1.986 5.387
0.000 -1.986 5.387
Pm Y Zn Ir
1 1 1 1
Direct
0.000 0.000 0.000
0.500 0.280 0.280
0.500 0.573 0.573
0.000 0.713 0.713
```


Run two
Computed, not measured: PmYZnIr after structural relaxation at the PBE level of DFT.

The structure in POSCAR format:
```
PmYZnIr
1.0
0.000 3.539 3.539
3.539 0.000 3.539
3.539 3.539 0.000
Pm Y Zn Ir
1 1 1 1
Direct
0.000 0.000 0.000
0.500 0.500 0.500
0.750 0.750 0.750
0.250 0.250 0.250
```


Energy relative to the most stable one, in meV/atom: run one 0; run two 6


Run one
Computed, not measured: Pm3Zn2Ir after structural relaxation at the PBE level of DFT.

The structure in POSCAR format:
```
Pm3Zn2Ir
1.0
3.633 0.000 0.000
0.000 3.633 0.000
0.000 0.000 10.823
Pm Zn Ir
3 2 1
Direct
0.000 0.000 0.000
0.000 0.000 0.347
0.000 0.000 0.653
0.500 0.500 0.167
0.500 0.500 0.833
0.500 0.500 0.500
```


Run two
Computed, not measured: Pm3Zn2Ir after structural relaxation at the PBE level of DFT.

The structure in POSCAR format:
```
Pm3Zn2Ir
1.0
12.417 0.000 0.000
0.000 4.493 0.000
0.000 0.000 10.790
Pm Zn Ir
12 8 4
Direct
0.055 0.250 0.114
0.110 0.750 0.560
0.238 0.250 0.790
0.262 0.750 0.290
0.390 0.250 0.060
0.445 0.750 0.614
0.555 0.250 0.386
0.610 0.750 0.940
0.738 0.250 0.710
0.762 0.750 0.210
0.890 0.250 0.440
0.945 0.750 0.886
0.009 0.750 0.295
0.201 0.750 0.995
0.299 0.250 0.495
0.491 0.250 0.795
0.509 0.750 0.205
0.701 0.750 0.505
0.799 0.250 0.005
0.991 0.250 0.705
0.118 0.250 0.368
0.382 0.750 0.868
0.618 0.250 0.132
0.882 0.750 0.632
```


Energy relative to the most stable one, in meV/atom: run one 18; run two 0


Run one
Computed, not measured: Pm2Zn3Ir after structural relaxation at the PBE level of DFT.

The structure in POSCAR format:
```
Pm2Zn3Ir
1.0
0.000 4.460 7.652
3.718 0.000 7.652
3.718 4.460 0.000
Pm Zn Ir
4 6 2
Direct
0.240 0.760 0.760
0.250 0.250 0.250
0.750 0.750 0.750
0.760 0.240 0.240
0.169 0.665 0.335
0.332 0.332 0.668
0.335 0.831 0.169
0.665 0.169 0.831
0.668 0.668 0.332
0.831 0.335 0.665
0.163 0.163 0.837
0.837 0.837 0.163
```


Run two
Computed, not measured: Pm2Zn3Ir after structural relaxation at the PBE level of DFT.

The structure in POSCAR format:
```
Pm2Zn3Ir
1.0
5.144 -2.191 0.000
5.144 2.191 0.000
-4.528 0.000 5.511
Pm Zn Ir
2 3 1
Direct
0.000 0.000 0.000
0.104 0.104 0.609
0.382 0.382 0.222
0.718 0.718 0.029
0.725 0.725 0.420
0.404 0.404 0.635
```


Energy relative to the most stable one, in meV/atom: run one 13; run two 0


Run one
Computed, not measured: PmZn3Ir2 after structural relaxation at the PBE level of DFT.

The structure in POSCAR format:
```
PmZn3Ir2
1.0
4.537 -4.155 0.000
4.537 4.155 0.000
0.000 0.000 5.722
Pm Zn Ir
2 6 4
Direct
0.146 0.854 0.750
0.854 0.146 0.250
0.060 0.586 0.250
0.414 0.940 0.250
0.481 0.519 0.250
0.519 0.481 0.750
0.586 0.060 0.750
0.940 0.414 0.750
0.263 0.263 0.000
0.263 0.263 0.500
0.737 0.737 0.000
0.737 0.737 0.500
```


Run two
Computed, not measured: PmZn3Ir2 after structural relaxation at the PBE level of DFT.

The structure in POSCAR format:
```
PmZn3Ir2
1.0
2.313 -6.990 0.000
2.313 6.990 0.000
0.000 0.000 3.117
Pm Zn Ir
1 3 2
Direct
0.000 0.000 0.000
0.196 0.804 0.500
0.500 0.500 0.500
0.804 0.196 0.500
0.350 0.650 0.000
0.650 0.350 0.000
```


Energy relative to the most stable one, in meV/atom: run one 0; run two 303


Run one
Computed, not measured: Pm3Zn3Ir2 after structural relaxation at the PBE level of DFT.

The structure in POSCAR format:
```
Pm3Zn3Ir2
1.0
2.081 -5.227 0.000
2.081 5.227 0.000
0.000 0.000 15.993
Pm Zn Ir
6 6 4
Direct
0.073 0.927 0.604
0.073 0.927 0.896
0.348 0.652 0.750
0.652 0.348 0.250
0.927 0.073 0.104
0.927 0.073 0.396
0.357 0.643 0.533
0.357 0.643 0.967
0.360 0.640 0.250
0.640 0.360 0.750
0.643 0.357 0.033
0.643 0.357 0.467
0.220 0.780 0.115
0.220 0.780 0.385
0.780 0.220 0.615
0.780 0.220 0.885
```


Run two
Computed, not measured: Pm3Zn3Ir2 after structural relaxation at the PBE level of DFT.

The structure in POSCAR format:
```
Pm3Zn3Ir2
1.0
7.667 0.000 0.000
0.000 16.043 0.000
0.000 0.000 5.660
Pm Zn Ir
12 12 8
Direct
0.037 0.106 0.113
0.037 0.394 0.113
0.167 0.250 0.640
0.333 0.750 0.140
0.463 0.606 0.613
0.463 0.894 0.613
0.537 0.106 0.387
0.537 0.394 0.387
0.667 0.250 0.860
0.833 0.750 0.360
0.963 0.606 0.887
0.963 0.894 0.887
0.171 0.033 0.599
0.171 0.467 0.599
0.175 0.750 0.630
0.325 0.250 0.130
0.329 0.533 0.099
0.329 0.967 0.099
0.671 0.033 0.901
0.671 0.467 0.901
0.675 0.750 0.870
0.825 0.250 0.370
0.829 0.533 0.401
0.829 0.967 0.401
0.123 0.613 0.377
0.123 0.887 0.377
0.377 0.113 0.877
0.377 0.387 0.877
0.623 0.613 0.123
0.623 0.887 0.123
0.877 0.113 0.623
0.877 0.387 0.623
```


Energy relative to the most stable one, in meV/atom: run one 6; run two 0